The following is a PBE+U calculation of a relaxed structure of LiNi2SnO4, from Alexandria via LeMat-Bulk.

Summary:
For the final energy, the calculation gives -40.66 eV/f.u. The calculation puts the volume at 10.7 Å³ per atom. The total moment comes out at 0.377 μB per atom. The value obtained for the density is 5936 kg/m3.

a = 5.4436 Å, b = 3.0786 Å, c = 5.6691 Å
α = 90.00°, β = 115.30°, γ = 90.00°
Closest atoms and distances in Å follow each position.
Space group P2/m (No. 10)
Unique sites:
Li: 0.0000 0.0000 0.0000  4 O 2.20
Ni: 0.5000 0.0000 0.5000  6 O 2.13-2.18
Ni: 0.5000 0.5000 0.0000  4 O 2.15
Sn: 0.0000 0.5000 0.5000  6 O 2.04-2.15
O: 0.2241 0.5000 0.2885  1 Sn 2.04, 2 Ni 2.13, 2 Li 2.20
O: 0.2687 0.0000 0.7340  3 Ni 2.15-2.18, 2 Sn 2.15